Entry 1:
DFT (PBE-GGA) results for LiPrAs after structural relaxation.

## Properties
* relative energy among the computed polymorphs: 0.000 eV/atom
* total energy: -14.4 eV for the cell shown

a b c (Å): 4.2476 4.2476 4.1307
angles (deg): 90.00 90.00 120.00
Space group P-6m2 (No. 187)
Unique sites:
Li 0.0000 0.0000 0.0000 (multiplicity 1)
Pr 0.6667 0.3333 0.5000 (multiplicity 1)
As 0.3333 0.6667 0.0000 (multiplicity 1)

***

Entry 2:
DFT (PBE-GGA) results for LiAsPt after structural relaxation.

## Properties
* total energy: -56.7 eV for the cell shown

a b c (Å): 5.885 5.885 5.885
angles (deg): 90.00 90.00 90.00
Space group F-43m (No. 216)
Unique sites:
Li 0.000 0.000 0.000 (multiplicity 4)
As 0.000 0.000 0.500 (multiplicity 4)
Pt 0.250 0.250 0.750 (multiplicity 4)

***

Entry 3:
DFT (PBE-GGA) results for LiAs2Pt2 after structural relaxation.

## Properties
* total energy: -50.0 eV for the cell shown

a b c (Å): 4.418 4.418 9.926
angles (deg): 90.00 90.00 90.00
Space group I4/mmm (No. 139)
Unique sites:
Li 0.000 0.000 0.000 (multiplicity 2)
As 0.000 0.000 0.371 (multiplicity 4)
Pt 0.000 0.500 0.250 (multiplicity 4)

***

Entry 4:
DFT (PBE-GGA) results for Li2As2Pt3 after structural relaxation.

## Properties
* total energy: -104.1 eV for the cell shown

a b c (Å): 4.3122 4.3122 20.5467
angles (deg): 90.00 90.00 120.00
Space group R3m (No. 160, hexagonal axes)
Unique sites:
Li 0.0000 0.0000 0.0000 (multiplicity 3)
Li 0.0000 0.0000 0.4762 (multiplicity 3)
As 0.0000 0.0000 0.2270 (multiplicity 3)
As 0.0000 0.0000 0.7368 (multiplicity 3)
Pt 0.0000 0.0000 0.3533 (multiplicity 3)
Pt 0.0000 0.0000 0.6076 (multiplicity 3)
Pt 0.0000 0.0000 0.8628 (multiplicity 3)

***

- What is the total energy in the first record?
  -14.4 eV for the cell shown

***

- What is the total energy in the fourth record?
  -104.1 eV for the cell shown